A plane-wave DFT calculation with PBE was carried out for a geometry-optimized In2SbPb structure.

Values from the calculation:
total moment: 0.000 μB per atom
relative energy among the computed polymorphs: 0.12 eV/f.u.
uncorrected formation energy: 0.064 eV per atom

a = 4.4294 Å, b = 5.2546 Å, c = 9.8347 Å
α = 90.00°, β = 90.00°, γ = 90.00°
Closest atoms and distances in Å follow each position.
Space group Cmm2 (No. 35)
Symmetry-distinct sites (fractional):
In1 0.0000 0.0000 0.0000  8 In 3.25-3.55, 2 Pb 3.37
In2 0.0000 0.5000 0.2421  4 Sb 3.23-3.52, 8 In 3.25-3.55
Sb1 0.0000 0.0000 0.4808  4 In 3.23-3.52, 2 Pb 3.39, 4 Sb 3.44
Pb1 0.0000 0.5000 0.7413  4 In 3.37-3.66, 4 Sb 3.39-3.67, 4 Pb 3.44